Run A
The following is a PBE calculation of a relaxed structure of Tb5Pm2Sm2, from Alexandria via LeMat-Bulk.

a b c (Å): 3.511 8.321 12.615
angles (deg): 121.10 98.00 90.00
Element x y z (fractional)
Tb  0.690  0.855  0.380
Tb  0.310  0.145  0.620
Tb  0.900  0.541  0.800
Tb  0.100  0.459  0.200
Tb  0.000  0.000  0.000
Pm  0.815  0.778  0.630
Pm  0.185  0.222  0.370
Sm  0.547  0.739  0.094
Sm  0.453  0.261  0.906

Values from the calculation:
Spin magnetization: 0.000 Bohr magnetons per cell
Fermi-level density of states: 1.439 states/eV/atom


Run B
The following is a PBE calculation of a relaxed structure of Tb5Pm2Sm2, from Alexandria via LeMat-Bulk.

a b c (Å): 11.894 6.776 10.148
angles (deg): 109.50 125.88 90.00
Element x y z (fractional)
Tb  0.201  0.654  0.895
Tb  0.799  0.759  0.105
Tb  0.194  0.154  0.895
Tb  0.806  0.259  0.105
Tb  0.378  0.032  0.286
Tb  0.622  0.746  0.714
Tb  0.408  0.532  0.286
Tb  0.592  0.246  0.714
Tb  0.007  0.657  0.500
Tb  0.993  0.157  0.500
Pm  0.126  0.685  0.253
Pm  0.874  0.431  0.747
Pm  0.627  0.185  0.253
Pm  0.373  0.931  0.747
Sm  0.000  0.018  0.000
Sm  0.500  0.518  0.000
Sm  0.259  0.354  0.500
Sm  0.741  0.854  0.500

Values from the calculation:
Spin magnetization: 0.000 Bohr magnetons per cell
Fermi-level density of states: 1.593 states/eV/atom


Which of them is most stable, and which least? Most stable: run B; least stable: run A.


Run A
The following is a PBE calculation of a relaxed structure of Tb4Pm4Sm, from Alexandria via LeMat-Bulk.

a b c (Å): 5.637 8.917 9.042
angles (deg): 44.94 71.84 71.57
Element x y z (fractional)
Tb  0.631  0.427  0.312
Tb  0.926  0.766  0.382
Tb  0.369  0.573  0.688
Tb  0.074  0.234  0.618
Pm  0.282  0.147  0.289
Pm  0.718  0.853  0.711
Pm  0.866  0.305  0.963
Pm  0.134  0.695  0.037
Sm  0.500  0.000  0.000

Values from the calculation:
Spin magnetization: 0.000 Bohr magnetons per cell
Fermi-level density of states: 1.680 states/eV/atom


Run B
The following is a PBE calculation of a relaxed structure of Tb4Pm4Sm, from Alexandria via LeMat-Bulk.

a b c (Å): 5.096 8.069 8.069
angles (deg): 84.28 71.59 71.59
Element x y z (fractional)
Tb  0.666  0.667  0.000
Tb  0.334  0.333  0.000
Tb  0.666  0.000  0.667
Tb  0.334  0.000  0.333
Pm  0.668  0.332  0.332
Pm  0.332  0.668  0.668
Pm  0.000  0.668  0.332
Pm  0.000  0.332  0.668
Sm  0.000  0.000  0.000

Values from the calculation:
Spin magnetization: 0.000 Bohr magnetons per cell
Fermi-level density of states: 1.449 states/eV/atom


Which of them is most stable, and which least? Most stable: run B; least stable: run A.


Run A
The following is a PBE calculation of a relaxed structure of Tb2Pm5Sm4, from Alexandria via LeMat-Bulk.

a b c (Å): 3.563 11.567 11.077
angles (deg): 121.47 99.26 90.00
Element x y z (fractional)
Tb  0.797  0.797  0.594
Tb  0.203  0.203  0.406
Pm  0.179  0.471  0.358
Pm  0.821  0.529  0.642
Pm  0.179  0.887  0.358
Pm  0.500  0.000  0.000
Pm  0.821  0.113  0.642
Sm  0.589  0.589  0.178
Sm  0.000  0.264  0.000
Sm  0.411  0.411  0.822
Sm  0.000  0.736  0.000

Values from the calculation:
Spin magnetization: 0.000 Bohr magnetons per cell
Fermi-level density of states: 1.212 states/eV/atom


Run B
The following is a PBE calculation of a relaxed structure of Tb2Pm5Sm4, from Alexandria via LeMat-Bulk.

a b c (Å): 3.502 8.886 12.240
angles (deg): 96.94 98.22 90.00
Element x y z (fractional)
Tb  0.909  0.266  0.818
Tb  0.091  0.734  0.182
Pm  0.140  0.116  0.281
Pm  0.860  0.884  0.719
Pm  0.231  0.823  0.462
Pm  0.500  0.000  0.000
Pm  0.769  0.177  0.538
Sm  0.677  0.471  0.354
Sm  0.045  0.361  0.091
Sm  0.323  0.529  0.646
Sm  0.955  0.639  0.909

Values from the calculation:
Spin magnetization: 0.000 Bohr magnetons per cell
Fermi-level density of states: 1.615 states/eV/atom


Which of them is most stable, and which least? Most stable: run B; least stable: run A.


Run A
The following is a PBE calculation of a relaxed structure of TbPm6Sm2, from Alexandria via LeMat-Bulk.

a b c (Å): 6.736 9.769 9.769
angles (deg): 96.69 80.07 80.07
Element x y z (fractional)
Tb  0.250  0.118  0.882
Tb  0.750  0.882  0.118
Pm  0.507  0.648  0.280
Pm  0.993  0.720  0.352
Pm  0.493  0.352  0.720
Pm  0.007  0.280  0.648
Pm  0.721  0.060  0.463
Pm  0.779  0.537  0.940
Pm  0.279  0.940  0.537
Pm  0.221  0.463  0.060
Pm  0.320  0.777  0.960
Pm  0.180  0.040  0.223
Pm  0.680  0.223  0.040
Pm  0.820  0.960  0.777
Sm  0.131  0.621  0.668
Sm  0.369  0.332  0.379
Sm  0.869  0.379  0.332
Sm  0.631  0.668  0.621

Values from the calculation:
Spin magnetization: 0.000 Bohr magnetons per cell
Fermi-level density of states: 1.406 states/eV/atom


Run B
The following is a PBE calculation of a relaxed structure of TbPm6Sm2, from Alexandria via LeMat-Bulk.

a b c (Å): 3.655 10.099 10.099
angles (deg): 55.85 90.00 90.00
Element x y z (fractional)
Tb  0.000  0.000  0.000
Pm  0.000  0.512  0.160
Pm  0.000  0.840  0.488
Pm  0.000  0.488  0.840
Pm  0.500  0.683  0.317
Pm  0.000  0.160  0.512
Pm  0.500  0.317  0.683
Sm  0.500  0.179  0.179
Sm  0.500  0.821  0.821

Values from the calculation:
Spin magnetization: 0.000 Bohr magnetons per cell
Fermi-level density of states: 1.489 states/eV/atom


Which of them is most stable, and which least? Most stable: run A; least stable: run B.


Run A
The following is a PBE calculation of a relaxed structure of TbPm12Sm7, from Alexandria via LeMat-Bulk.

a b c (Å): 8.872 8.872 8.872
angles (deg): 87.32 87.32 87.32
Element x y z (fractional)
Tb  0.000  0.000  0.000
Pm  0.853  0.255  0.725
Pm  0.745  0.275  0.147
Pm  0.616  0.136  0.492
Pm  0.864  0.508  0.384
Pm  0.275  0.147  0.745
Pm  0.508  0.384  0.864
Pm  0.492  0.616  0.136
Pm  0.725  0.853  0.255
Pm  0.136  0.492  0.616
Pm  0.384  0.864  0.508
Pm  0.255  0.725  0.853
Pm  0.147  0.745  0.275
Sm  0.850  0.606  0.927
Sm  0.394  0.073  0.150
Sm  0.073  0.150  0.394
Sm  0.500  0.500  0.500
Sm  0.927  0.850  0.606
Sm  0.606  0.927  0.850
Sm  0.150  0.394  0.073

Values from the calculation:
Spin magnetization: 0.000 Bohr magnetons per cell
Fermi-level density of states: 1.980 states/eV/atom


Run B
The following is a PBE calculation of a relaxed structure of TbPm12Sm7, from Alexandria via LeMat-Bulk.

a b c (Å): 6.887 11.109 11.109
angles (deg): 64.15 78.08 101.93
Element x y z (fractional)
Tb  0.000  0.000  0.000
Pm  0.730  0.478  0.066
Pm  0.204  0.934  0.544
Pm  0.288  0.214  0.214
Pm  0.498  0.786  0.428
Pm  0.748  0.544  0.522
Pm  0.926  0.428  0.786
Pm  0.074  0.572  0.214
Pm  0.252  0.456  0.478
Pm  0.502  0.214  0.572
Pm  0.712  0.786  0.786
Pm  0.796  0.066  0.456
Pm  0.270  0.522  0.934
Sm  0.784  0.162  0.142
Sm  0.073  0.858  0.305
Sm  0.378  0.305  0.838
Sm  0.500  0.000  0.000
Sm  0.622  0.695  0.162
Sm  0.927  0.142  0.695
Sm  0.216  0.838  0.858

Values from the calculation:
Spin magnetization: 0.000 Bohr magnetons per cell
Fermi-level density of states: 1.220 states/eV/atom


Which of them is most stable, and which least? Most stable: run A; least stable: run B.


Run A
The following is a PBE calculation of a relaxed structure of Tb3Pm6Sm2, from Alexandria via LeMat-Bulk.

a b c (Å): 4.798 4.798 17.254
angles (deg): 97.99 97.99 90.00
Element x y z (fractional)
Tb  0.000  0.000  0.000
Tb  0.801  0.801  0.602
Tb  0.199  0.199  0.398
Pm  0.121  0.621  0.242
Pm  0.621  0.121  0.242
Pm  0.879  0.379  0.758
Pm  0.379  0.879  0.758
Pm  0.700  0.700  0.399
Pm  0.300  0.300  0.601
Sm  0.455  0.455  0.909
Sm  0.545  0.545  0.091

Values from the calculation:
Spin magnetization: 0.000 Bohr magnetons per cell
Fermi-level density of states: 1.452 states/eV/atom


Run B
The following is a PBE calculation of a relaxed structure of Tb3Pm6Sm2, from Alexandria via LeMat-Bulk.

a b c (Å): 3.620 6.271 17.378
angles (deg): 93.32 77.95 106.71
Element x y z (fractional)
Tb  0.000  0.000  0.000
Tb  0.545  0.819  0.364
Tb  0.455  0.181  0.636
Pm  0.364  0.546  0.909
Pm  0.727  0.090  0.818
Pm  0.636  0.454  0.091
Pm  0.273  0.910  0.182
Pm  0.818  0.728  0.545
Pm  0.182  0.272  0.455
Sm  0.909  0.366  0.273
Sm  0.091  0.634  0.727

Values from the calculation:
Spin magnetization: 0.000 Bohr magnetons per cell
Fermi-level density of states: 1.335 states/eV/atom


Which of them is most stable, and which least? Most stable: run B; least stable: run A.


Run A
The following is a PBE calculation of a relaxed structure of Tb2Pm7Sm3, from Alexandria via LeMat-Bulk.

a b c (Å): 3.621 5.929 19.120
angles (deg): 93.25 90.00 90.00
Element x y z (fractional)
Tb  0.500  0.707  0.296
Tb  0.500  0.293  0.704
Pm  0.500  0.743  0.464
Pm  0.500  0.257  0.536
Pm  0.000  0.681  0.145
Pm  0.000  0.000  0.000
Pm  0.000  0.319  0.855
Pm  0.500  0.816  0.820
Pm  0.500  0.184  0.180
Sm  0.500  0.500  0.000
Sm  0.000  0.217  0.367
Sm  0.000  0.783  0.633

Values from the calculation:
Spin magnetization: 0.000 Bohr magnetons per cell
Fermi-level density of states: 1.379 states/eV/atom


Run B
The following is a PBE calculation of a relaxed structure of Tb2Pm7Sm3, from Alexandria via LeMat-Bulk.

a b c (Å): 5.638 6.242 12.333
angles (deg): 92.15 90.00 90.00
Element x y z (fractional)
Tb  0.500  0.622  0.280
Tb  0.500  0.378  0.720
Pm  0.500  0.241  0.449
Pm  0.500  0.759  0.551
Pm  0.000  0.444  0.184
Pm  0.000  0.000  0.000
Pm  0.000  0.556  0.816
Pm  0.500  0.911  0.832
Pm  0.500  0.089  0.168
Sm  0.500  0.500  0.000
Sm  0.000  0.939  0.338
Sm  0.000  0.061  0.662

Values from the calculation:
Spin magnetization: 0.000 Bohr magnetons per cell
Fermi-level density of states: 1.493 states/eV/atom


Which of them is most stable, and which least? Most stable: run A; least stable: run B.


Run A
The following is a PBE calculation of a relaxed structure of Tb2Pm3Sm6, from Alexandria via LeMat-Bulk.

a b c (Å): 3.620 3.620 32.574
angles (deg): 86.81 86.81 60.00
Element x y z (fractional)
Tb  0.545  0.545  0.365
Tb  0.455  0.455  0.635
Pm  0.000  0.000  0.000
Pm  0.728  0.728  0.817
Pm  0.272  0.272  0.183
Sm  0.908  0.908  0.275
Sm  0.092  0.092  0.725
Sm  0.818  0.818  0.546
Sm  0.182  0.182  0.454
Sm  0.636  0.636  0.092
Sm  0.364  0.364  0.908

Values from the calculation:
Spin magnetization: 0.001 Bohr magnetons per cell
Fermi-level density of states: 1.308 states/eV/atom


Run B
The following is a PBE calculation of a relaxed structure of Tb2Pm3Sm6, from Alexandria via LeMat-Bulk.

a b c (Å): 4.809 4.809 17.153
angles (deg): 98.06 98.06 90.00
Element x y z (fractional)
Tb  0.455  0.455  0.909
Tb  0.545  0.545  0.091
Pm  0.000  0.000  0.000
Pm  0.799  0.799  0.599
Pm  0.201  0.201  0.401
Sm  0.120  0.620  0.240
Sm  0.620  0.120  0.240
Sm  0.880  0.380  0.760
Sm  0.380  0.880  0.760
Sm  0.697  0.697  0.394
Sm  0.303  0.303  0.606

Values from the calculation:
Spin magnetization: 0.000 Bohr magnetons per cell
Fermi-level density of states: 1.481 states/eV/atom


Which of them is most stable, and which least? Most stable: run A; least stable: run B.


Run A
The following is a PBE calculation of a relaxed structure of Tb7Pm2Sm3, from Alexandria via LeMat-Bulk.

a b c (Å): 3.596 5.859 19.471
angles (deg): 104.20 90.00 90.00
Element x y z (fractional)
Tb  0.500  0.720  0.462
Tb  0.500  0.280  0.538
Tb  0.000  0.456  0.143
Tb  0.000  0.000  0.000
Tb  0.000  0.544  0.857
Tb  0.500  0.014  0.826
Tb  0.500  0.986  0.174
Pm  0.500  0.583  0.294
Pm  0.500  0.417  0.706
Sm  0.500  0.500  0.000
Sm  0.000  0.145  0.368
Sm  0.000  0.855  0.632

Values from the calculation:
Spin magnetization: 0.000 Bohr magnetons per cell
Fermi-level density of states: 1.212 states/eV/atom


Run B
The following is a PBE calculation of a relaxed structure of Tb7Pm2Sm3, from Alexandria via LeMat-Bulk.

a b c (Å): 3.565 6.408 17.394
angles (deg): 90.02 90.00 90.00
Element x y z (fractional)
Tb  0.500  0.244  0.500
Tb  0.500  0.756  0.500
Tb  0.000  0.675  0.164
Tb  0.000  0.000  0.000
Tb  0.000  0.325  0.836
Tb  0.500  0.827  0.835
Tb  0.500  0.173  0.165
Pm  0.500  0.507  0.327
Pm  0.500  0.493  0.673
Sm  0.500  0.500  0.000
Sm  0.000  0.001  0.340
Sm  0.000  0.999  0.660

Values from the calculation:
Spin magnetization: 0.000 Bohr magnetons per cell
Fermi-level density of states: 1.467 states/eV/atom


Which of them is most stable, and which least? Most stable: run B; least stable: run A.


Run A
The following is a PBE calculation of a relaxed structure of TbPmSm, from Alexandria via LeMat-Bulk.

a b c (Å): 3.640 3.636 9.021
angles (deg): 78.15 89.95 59.95
Element x y z (fractional)
Tb  0.872  0.679  0.947
Pm  0.091  0.240  0.615
Sm  0.649  0.123  0.277

Values from the calculation:
Spin magnetization: 0.000 Bohr magnetons per cell
Fermi-level density of states: 1.268 states/eV/atom


Run B
The following is a PBE calculation of a relaxed structure of TbPmSm, from Alexandria via LeMat-Bulk.

a b c (Å): 3.521 5.715 5.715
angles (deg): 120.00 90.00 90.00
Element x y z (fractional)
Tb  0.167  0.333  0.667
Sm  0.667  0.667  0.333
Pm  0.166  0.000  0.000

Values from the calculation:
Spin magnetization: 0.000 Bohr magnetons per cell
Fermi-level density of states: 1.563 states/eV/atom


Which of them is most stable, and which least? Most stable: run A; least stable: run B.